1.
# GGA-PBE Cr2CoSb, optimized geometry
data_Cr2CoSb
_chemical_formula_sum 'Cr2 Co1 Sb1'
_symmetry_space_group_name_H-M 'P 1'
_symmetry_Int_Tables_number 1
_symmetry_space_group_name_Hall 'P 1'
_cell_length_a 4.284
_cell_length_b 4.284
_cell_length_c 4.284
_cell_angle_alpha 60.00
_cell_angle_beta 60.00
_cell_angle_gamma 60.00
loop_
_atom_site_label
_atom_site_type_symbol
_atom_site_fract_x
_atom_site_fract_y
_atom_site_fract_z
Cr1 Cr 0.000 0.000 0.000
Cr2 Cr 0.250 0.250 0.250
Co1 Co 0.750 0.750 0.750
Sb1 Sb 0.500 0.500 0.500
# SG: F-43m
# Uncorrected formation energy in kJ/mol of formula units: 57

***

2.
# GGA-PBE CaSe, optimized geometry
data_CaSe
_chemical_formula_sum 'Ca2 Se2'
_symmetry_space_group_name_H-M 'P 1'
_symmetry_Int_Tables_number 1
_symmetry_space_group_name_Hall 'P 1'
_cell_length_a 8.458
_cell_length_b 8.458
_cell_length_c 8.458
_cell_angle_alpha 33.67
_cell_angle_beta 33.67
_cell_angle_gamma 33.67
loop_
_atom_site_label
_atom_site_type_symbol
_atom_site_fract_x
_atom_site_fract_y
_atom_site_fract_z
Ca1 Ca 0.223 0.223 0.223
Ca2 Ca 0.777 0.777 0.777
Se1 Se 0.100 0.100 0.100
Se2 Se 0.900 0.900 0.900
# SG: R-3m
# Uncorrected formation energy in kJ/mol of formula units: -329

***

3.
# GGA-PBE Ni2HgMoN, optimized geometry
data_Ni2HgMoN
_chemical_formula_sum 'Ni2 Hg1 Mo1 N1'
_symmetry_space_group_name_H-M 'P 1'
_symmetry_Int_Tables_number 1
_symmetry_space_group_name_Hall 'P 1'
_cell_length_a 3.980
_cell_length_b 3.980
_cell_length_c 4.058
_cell_angle_alpha 90.00
_cell_angle_beta 90.00
_cell_angle_gamma 90.00
loop_
_atom_site_label
_atom_site_type_symbol
_atom_site_fract_x
_atom_site_fract_y
_atom_site_fract_z
Ni1 Ni 0.000 0.500 0.000
Ni2 Ni 0.500 0.000 0.000
Hg1 Hg 0.000 0.000 0.500
Mo1 Mo 0.500 0.500 0.500
N1 N 0.500 0.500 0.000
# SG: P4/mmm
# Uncorrected formation energy in kJ/mol of formula units: 37

***

4.
# GGA-PBE Sm7Er12Tl, optimized geometry
data_Sm7Er12Tl
_chemical_formula_sum 'Sm7 Er12 Tl1'
_symmetry_space_group_name_H-M 'P 1'
_symmetry_Int_Tables_number 1
_symmetry_space_group_name_Hall 'P 1'
_cell_length_a 6.134
_cell_length_b 9.350
_cell_length_c 11.155
_cell_angle_alpha 83.24
_cell_angle_beta 79.60
_cell_angle_gamma 89.93
loop_
_atom_site_label
_atom_site_type_symbol
_atom_site_fract_x
_atom_site_fract_y
_atom_site_fract_z
Sm1 Sm 0.000 0.000 0.000
Sm2 Sm 0.205 0.801 0.399
Sm3 Sm 0.245 0.252 0.751
Sm4 Sm 0.400 0.600 0.797
Sm5 Sm 0.600 0.400 0.203
Sm6 Sm 0.755 0.748 0.249
Sm7 Sm 0.795 0.199 0.601
Er1 Er 0.053 0.450 0.354
Er2 Er 0.095 0.903 0.698
Er3 Er 0.150 0.351 0.054
Er4 Er 0.300 0.699 0.097
Er5 Er 0.349 0.151 0.451
Er6 Er 0.450 0.050 0.152
Er7 Er 0.550 0.950 0.848
Er8 Er 0.651 0.849 0.549
Er9 Er 0.700 0.301 0.903
Er10 Er 0.850 0.649 0.946
Er11 Er 0.905 0.097 0.302
Er12 Er 0.947 0.550 0.646
Tl1 Tl 0.500 0.500 0.500
# SG: P-1
# Calculated formation energy in eV/f.u.: -0.05

***

5.
# GGA-PBE Tl2AgCl, optimized geometry
data_Tl2AgCl
_chemical_formula_sum 'Tl4 Ag2 Cl2'
_symmetry_space_group_name_H-M 'P 1'
_symmetry_Int_Tables_number 1
_symmetry_space_group_name_Hall 'P 1'
_cell_length_a 6.829
_cell_length_b 6.829
_cell_length_c 6.829
_cell_angle_alpha 107.41
_cell_angle_beta 107.41
_cell_angle_gamma 113.67
loop_
_atom_site_label
_atom_site_type_symbol
_atom_site_fract_x
_atom_site_fract_y
_atom_site_fract_z
Tl1 Tl 0.112 0.125 0.487
Tl2 Tl 0.375 0.888 0.013
Tl3 Tl 0.638 0.625 0.513
Tl4 Tl 0.875 0.362 0.987
Ag1 Ag 0.000 0.000 0.000
Ag2 Ag 0.750 0.250 0.500
Cl1 Cl 0.250 0.750 0.500
Cl2 Cl 0.500 0.500 0.000
# Polymorph energy (0 for the lowest one) in eV/atom: 0.143
# SG: I-42d
# Uncorrected formation energy in kJ/mol of formula units: -78

***

6.
# GGA-PBE HPtPb2, optimized geometry
data_HPtPb2
_chemical_formula_sum 'H2 Pt2 Pb4'
_symmetry_space_group_name_H-M 'P 1'
_symmetry_Int_Tables_number 1
_symmetry_space_group_name_Hall 'P 1'
_cell_length_a 7.539
_cell_length_b 7.539
_cell_length_c 7.539
_cell_angle_alpha 137.79
_cell_angle_beta 137.79
_cell_angle_gamma 61.22
loop_
_atom_site_label
_atom_site_type_symbol
_atom_site_fract_x
_atom_site_fract_y
_atom_site_fract_z
H1 H 0.000 0.000 0.000
H2 H 0.750 0.250 0.500
Pt1 Pt 0.250 0.750 0.500
Pt2 Pt 0.500 0.500 0.000
Pb1 Pb 0.062 0.625 0.937
Pb2 Pb 0.375 0.312 0.437
Pb3 Pb 0.688 0.125 0.063
Pb4 Pb 0.875 0.938 0.563
# Polymorph energy (0 for the lowest one) in eV/atom: 0.352
# SG: I-42d

***

7.
# GGA-PBE MnFeCuMoAu, optimized geometry
data_MnFeCuMoAu
_chemical_formula_sum 'Mn1 Fe1 Cu1 Mo1 Au1'
_symmetry_space_group_name_H-M 'P 1'
_symmetry_Int_Tables_number 1
_symmetry_space_group_name_Hall 'P 1'
_cell_length_a 8.092
_cell_length_b 8.092
_cell_length_c 8.092
_cell_angle_alpha 161.02
_cell_angle_beta 156.61
_cell_angle_gamma 30.29
loop_
_atom_site_label
_atom_site_type_symbol
_atom_site_fract_x
_atom_site_fract_y
_atom_site_fract_z
Mn1 Mn 0.000 0.000 0.000
Fe1 Fe 0.435 0.435 0.000
Cu1 Cu 0.839 0.839 0.000
Mo1 Mo 0.602 0.602 0.000
Au1 Au 0.231 0.231 0.000
# Polymorph energy (0 for the lowest one) in eV/atom: 0.083
# SG: Imm2
# Calculated formation energy in eV/f.u.: 1.02

***

8.
# GGA-PBE La2NdAu3, optimized geometry
data_La2NdAu3
_chemical_formula_sum 'La4 Nd2 Au6'
_symmetry_space_group_name_H-M 'P 1'
_symmetry_Int_Tables_number 1
_symmetry_space_group_name_Hall 'P 1'
_cell_length_a 8.441
_cell_length_b 8.441
_cell_length_c 7.462
_cell_angle_alpha 90.00
_cell_angle_beta 90.00
_cell_angle_gamma 143.10
loop_
_atom_site_label
_atom_site_type_symbol
_atom_site_fract_x
_atom_site_fract_y
_atom_site_fract_z
La1 La 0.000 0.000 0.000
La2 La 0.000 0.000 0.500
La3 La 0.334 0.666 0.000
La4 La 0.666 0.334 0.000
Nd1 Nd 0.333 0.667 0.500
Nd2 Nd 0.667 0.333 0.500
Au1 Au 0.169 0.831 0.257
Au2 Au 0.169 0.831 0.743
Au3 Au 0.500 0.500 0.254
Au4 Au 0.500 0.500 0.746
Au5 Au 0.831 0.169 0.257
Au6 Au 0.831 0.169 0.743
# SG: Cmmm
# Calculated formation energy in eV/f.u.: -4.64

***

Calculated V, 13.90; 41.42; 12.86; 31.24; 30.52; 23.90; 13.67; 26.60 A^3/atom (same order as the records).
Calculated raw total energy, -7.47; -4.45; -6.13; -4.51; -2.56; -3.93; -6.96; -4.85 eV/atom (same order as the records).
Calculated M_tot, 2.017; 0.000; 0.098; 0.000; 0.000; 0.000; 0.248; 0.000 μB/f.u. (same order as the records).